(1)
! Ba2LaCu, optimized geometry, DFT PBE-GGA; values from VASP
&SYSTEM
  ibrav = 0, nat = 4, ntyp = 3
/
ATOMIC_SPECIES
Ba 137.33 Ba.upf
Cu 63.55 Cu.upf
La 138.91 La.upf
ATOMIC_POSITIONS crystal
Ba 0.500 0.500 0.000
Ba 0.000 0.000 0.000
Cu 0.500 0.000 0.500
La 0.000 0.500 0.500
CELL_PARAMETERS angstrom
4.402 0.000 0.000
0.000 5.828 0.000
0.000 0.000 5.846
! - formation energy (kcal/mol of atoms) = 8.34
! - space group = Pmmm (47)

(2)
! RbMg6Zr, optimized geometry, DFT PBE-GGA; values from VASP
&SYSTEM
  ibrav = 0, nat = 8, ntyp = 3
/
ATOMIC_SPECIES
Mg 24.30 Mg.upf
Zr 91.22 Zr.upf
Rb 85.47 Rb.upf
ATOMIC_POSITIONS crystal
Mg 0.058 0.404 0.000
Mg 0.925 0.601 0.500
Mg 0.399 0.075 0.500
Mg 0.926 0.074 0.500
Mg 0.596 0.404 0.000
Mg 0.596 0.942 0.000
Zr 0.083 0.917 0.000
Rb 0.416 0.584 0.500
CELL_PARAMETERS angstrom
3.384 -5.867 0.000
3.384 5.867 0.000
0.000 0.000 5.250
! - formation energy (kcal/mol of atoms) = 5.58
! - space group = P-6m2 (187)

(3)
! TlCdPS2, optimized geometry, DFT PBE-GGA; values from VASP
&SYSTEM
  ibrav = 0, nat = 5, ntyp = 4
/
ATOMIC_SPECIES
S 32.06 S.upf
Cd 112.41 Cd.upf
Tl 204.38 Tl.upf
P 30.97 P.upf
ATOMIC_POSITIONS crystal
S 0.500 0.000 0.000
S 0.000 0.500 0.000
Cd 0.000 0.000 0.000
Tl 0.500 0.500 0.500
P 0.000 0.000 0.500
CELL_PARAMETERS angstrom
-4.596 2.268 -0.484
-1.257 -1.534 4.750
1.921 4.298 1.897
! - uncorrected formation energy (eV per atom) = 0.586
! - space group = P4/mmm (123)

(4)
! Tb2Pr8Dy3, optimized geometry, DFT PBE-GGA; values from VASP
&SYSTEM
  ibrav = 0, nat = 13, ntyp = 3
/
ATOMIC_SPECIES
Pr 140.91 Pr.upf
Dy 162.50 Dy.upf
Tb 158.93 Tb.upf
ATOMIC_POSITIONS crystal
Pr 0.346 0.923 0.325
Pr 0.102 0.860 0.721
Pr 0.654 0.598 0.675
Pr 0.898 0.140 0.279
Pr 0.654 0.077 0.675
Pr 0.346 0.402 0.325
Pr 0.754 0.415 0.830
Pr 0.246 0.585 0.170
Dy 0.000 0.270 0.000
Dy 0.500 0.000 0.000
Dy 0.000 0.730 0.000
Tb 0.333 0.310 0.621
Tb 0.667 0.690 0.379
CELL_PARAMETERS angstrom
6.107 0.741 0.439
-0.829 10.294 -5.837
2.308 -1.840 8.482
! - formation energy (kcal/mol of atoms) = 3.67
! - space group = C2/m (12)

(5)
! SrSe2Cl, optimized geometry, DFT PBE-GGA; values from VASP
&SYSTEM
  ibrav = 0, nat = 4, ntyp = 3
/
ATOMIC_SPECIES
Cl 35.45 Cl.upf
Se 78.96 Se.upf
Sr 87.62 Sr.upf
ATOMIC_POSITIONS crystal
Cl 0.500 0.500 0.500
Se 0.104 0.104 0.104
Se 0.896 0.896 0.896
Sr 0.000 0.000 0.000
CELL_PARAMETERS angstrom
-8.048 -3.528 3.656
-7.469 -5.888 0.358
-5.509 -6.737 3.854
! - uncorrected formation energy (eV per atom) = 0.371
! - space group = R-3m (166)

(6)
! La3DyCo2, optimized geometry, DFT PBE-GGA; values from VASP
&SYSTEM
  ibrav = 0, nat = 12, ntyp = 3
/
ATOMIC_SPECIES
Co 58.93 Co.upf
La 138.91 La.upf
Dy 162.50 Dy.upf
ATOMIC_POSITIONS crystal
Co 0.126 0.623 0.126
Co 0.625 0.125 0.625
Co 0.874 0.377 0.874
Co 0.375 0.875 0.375
La 0.181 0.191 0.446
La 0.307 0.323 0.062
La 0.819 0.809 0.554
La 0.059 0.074 0.807
La 0.941 0.926 0.193
La 0.693 0.677 0.938
Dy 0.561 0.572 0.306
Dy 0.439 0.428 0.694
CELL_PARAMETERS angstrom
-1.024 -0.650 -3.878
7.414 -2.533 -3.662
-1.437 -10.301 -0.022
! - formation energy (kcal/mol of atoms) = -2.39
! - space group = C2/m (12)

(7)
! KNaAg2, optimized geometry, DFT PBE-GGA; values from VASP
&SYSTEM
  ibrav = 0, nat = 8, ntyp = 3
/
ATOMIC_SPECIES
K 39.10 K.upf
Ag 107.87 Ag.upf
Na 22.99 Na.upf
ATOMIC_POSITIONS crystal
K 0.750 0.250 0.500
K 0.000 0.000 0.000
Ag 0.373 0.625 0.250
Ag 0.375 0.623 0.750
Ag 0.875 0.627 0.750
Ag 0.377 0.125 0.250
Na 0.500 0.500 0.000
Na 0.250 0.750 0.500
CELL_PARAMETERS angstrom
5.386 0.000 0.000
0.000 5.386 0.000
2.693 2.693 10.399
! - formation energy (kcal/mol of atoms) = 3.64
! - space group = I-42d (122)

(8)
! YNp2N3, optimized geometry, DFT PBE-GGA; values from VASP
&SYSTEM
  ibrav = 0, nat = 6, ntyp = 3
/
ATOMIC_SPECIES
Np 237.00 Np.upf
N 14.01 N.upf
Y 88.91 Y.upf
ATOMIC_POSITIONS crystal
Np 0.768 0.770 0.542
Np 0.100 0.102 0.206
N 0.602 0.603 0.210
N 0.934 0.936 0.874
N 0.266 0.268 0.538
Y 0.434 0.436 0.874
CELL_PARAMETERS angstrom
-0.573 3.187 -1.239
1.478 -0.902 -3.004
-6.948 -3.302 -0.425
! - uncorrected formation energy (eV per atom) = -1.289
! - space group = I4/mmm (139)

(9)
! Pr3DyEr6Th2, optimized geometry, DFT PBE-GGA; values from VASP
&SYSTEM
  ibrav = 0, nat = 12, ntyp = 4
/
ATOMIC_SPECIES
Dy 162.50 Dy.upf
Pr 140.91 Pr.upf
Er 167.26 Er.upf
Th 232.04 Th.upf
ATOMIC_POSITIONS crystal
Dy 0.000 0.000 0.000
Pr 0.500 0.500 0.500
Pr 0.166 0.834 0.500
Pr 0.834 0.166 0.500
Er 0.744 0.744 0.244
Er 0.918 0.581 0.756
Er 0.082 0.419 0.244
Er 0.581 0.918 0.756
Er 0.419 0.082 0.244
Er 0.256 0.256 0.756
Th 0.333 0.667 0.000
Th 0.667 0.333 0.000
CELL_PARAMETERS angstrom
6.200 0.001 0.001
-3.098 5.370 0.001
-1.038 -1.798 11.571
! - formation energy (kcal/mol of atoms) = 0.45
! - space group = C2/m (12)

(10)
! Sc8CdNi2, optimized geometry, DFT PBE-GGA; values from VASP
&SYSTEM
  ibrav = 0, nat = 11, ntyp = 3
/
ATOMIC_SPECIES
Cd 112.41 Cd.upf
Sc 44.96 Sc.upf
Ni 58.69 Ni.upf
ATOMIC_POSITIONS crystal
Cd 0.500 0.000 0.000
Sc 0.655 0.803 0.311
Sc 0.676 0.465 0.352
Sc 0.324 0.535 0.648
Sc 0.345 0.197 0.689
Sc 0.142 0.093 0.284
Sc 0.858 0.907 0.716
Sc 0.025 0.365 0.049
Sc 0.975 0.635 0.951
Ni 0.238 0.758 0.475
Ni 0.762 0.242 0.525
CELL_PARAMETERS angstrom
3.196 0.000 -0.973
-1.684 6.572 -5.533
1.564 -0.068 10.875
! - formation energy (kcal/mol of atoms) = -4.83
! - space group = C2/m (12)

(11)
! Pu4Tc4Ge, optimized geometry, DFT PBE-GGA; values from VASP
&SYSTEM
  ibrav = 0, nat = 18, ntyp = 3
/
ATOMIC_SPECIES
Tc 98.00 Tc.upf
Pu 244.00 Pu.upf
Ge 72.64 Ge.upf
ATOMIC_POSITIONS crystal
Tc 0.500 0.307 0.171
Tc 0.693 0.500 0.829
Tc 0.807 0.000 0.671
Tc 0.307 0.500 0.829
Tc 0.000 0.807 0.329
Tc 0.500 0.693 0.171
Tc 0.193 0.000 0.671
Tc 0.000 0.193 0.329
Pu 0.310 0.000 0.253
Pu 0.000 0.310 0.747
Pu 0.000 0.690 0.747
Pu 0.690 0.000 0.253
Pu 0.500 0.190 0.753
Pu 0.500 0.810 0.753
Pu 0.810 0.500 0.247
Pu 0.190 0.500 0.247
Ge 0.500 0.500 0.500
Ge 0.000 0.000 0.000
CELL_PARAMETERS angstrom
-7.424 1.625 -0.286
-0.355 -0.286 7.591
1.344 6.194 0.296
! - formation energy (kcal/mol of atoms) = 5.85
! - space group = P4_2/nmc (137)

(12)
! NiBi2Mo, optimized geometry, DFT PBE-GGA; values from VASP
&SYSTEM
  ibrav = 0, nat = 4, ntyp = 3
/
ATOMIC_SPECIES
Mo 95.94 Mo.upf
Ni 58.69 Ni.upf
Bi 208.98 Bi.upf
ATOMIC_POSITIONS crystal
Mo 0.500 0.500 0.500
Ni 0.000 0.000 0.000
Bi 0.750 0.750 0.750
Bi 0.250 0.250 0.250
CELL_PARAMETERS angstrom
-1.926 -3.654 -2.573
-4.747 0.016 -1.072
-1.457 0.753 -4.581
! - formation energy (kcal/mol of atoms) = 14.97
! - space group = Fm-3m (225)

(13)
! Pu2AlRu3, optimized geometry, DFT PBE-GGA; values from VASP
&SYSTEM
  ibrav = 0, nat = 12, ntyp = 3
/
ATOMIC_SPECIES
Ru 101.07 Ru.upf
Al 26.98 Al.upf
Pu 244.00 Pu.upf
ATOMIC_POSITIONS crystal
Ru 0.502 0.500 0.345
Ru 0.498 0.000 0.155
Ru 0.498 0.500 0.000
Ru 0.498 0.000 0.845
Ru 0.502 0.500 0.655
Ru 0.502 0.000 0.500
Al 0.002 0.500 0.500
Al 0.998 0.000 0.000
Pu 0.998 0.500 0.160
Pu 0.998 0.500 0.840
Pu 0.002 0.000 0.340
Pu 0.002 0.000 0.660
CELL_PARAMETERS angstrom
-0.071 -0.985 -3.278
1.141 -4.055 1.194
-13.485 -3.407 1.314
! - formation energy (kcal/mol of atoms) = -6.31
! - space group = Pmmn (59)

(14)
! Y2BeW, optimized geometry, DFT PBE-GGA; values from VASP
&SYSTEM
  ibrav = 0, nat = 4, ntyp = 3
/
ATOMIC_SPECIES
Y 88.91 Y.upf
W 183.84 W.upf
Be 9.01 Be.upf
ATOMIC_POSITIONS crystal
Y 0.491 0.491 0.506
Y 0.009 0.009 0.994
W 0.250 0.250 0.250
Be 0.750 0.750 0.750
CELL_PARAMETERS angstrom
5.027 0.003 -0.019
4.057 2.969 -0.019
1.011 0.331 5.691
! - formation energy (kcal/mol of atoms) = 17.81
! - space group = C2/m (12)

(15)
! SmDy3ErSc, optimized geometry, DFT PBE-GGA; values from VASP
&SYSTEM
  ibrav = 0, nat = 12, ntyp = 4
/
ATOMIC_SPECIES
Dy 162.50 Dy.upf
Er 167.26 Er.upf
Sc 44.96 Sc.upf
Sm 150.36 Sm.upf
ATOMIC_POSITIONS crystal
Dy 0.831 0.662 0.250
Dy 0.169 0.338 0.750
Dy 0.667 0.335 0.500
Dy 0.333 0.665 0.000
Dy 0.333 0.665 0.500
Dy 0.667 0.335 0.000
Er 0.000 0.000 0.000
Er 0.000 0.000 0.500
Sc 0.168 0.336 0.250
Sc 0.832 0.664 0.750
Sm 0.497 0.995 0.750
Sm 0.503 0.005 0.250
CELL_PARAMETERS angstrom
-3.021 3.429 1.898
-0.056 -6.238 4.731
7.587 3.837 5.148
! - formation energy (kcal/mol of atoms) = 0.83
! - space group = Cmcm (63)

(16)
! AcZn3Cd, optimized geometry, DFT PBE-GGA; values from VASP
&SYSTEM
  ibrav = 0, nat = 5, ntyp = 3
/
ATOMIC_SPECIES
Ac 227.00 Ac.upf
Zn 65.41 Zn.upf
Cd 112.41 Cd.upf
ATOMIC_POSITIONS crystal
Ac 0.013 0.013 0.026
Zn 0.387 0.387 0.774
Zn 0.776 0.276 0.553
Zn 0.276 0.776 0.553
Cd 0.638 0.638 0.275
CELL_PARAMETERS angstrom
4.282 0.000 -1.726
-0.695 4.225 -1.726
0.028 0.033 6.246
! - formation energy (kcal/mol of atoms) = -5.73
! - space group = I4mm (107)

(17)
! K3TlH, optimized geometry, DFT PBE-GGA; values from VASP
&SYSTEM
  ibrav = 0, nat = 5, ntyp = 3
/
ATOMIC_SPECIES
K 39.10 K.upf
Tl 204.38 Tl.upf
H 1.01 H.upf
ATOMIC_POSITIONS crystal
K 0.000 0.000 0.500
K 0.000 0.500 0.000
K 0.500 0.000 0.000
Tl 0.500 0.500 0.500
H 0.000 0.000 0.000
CELL_PARAMETERS angstrom
5.604 0.000 0.000
0.000 5.604 0.000
0.000 0.000 5.604
! - space group = Pm-3m (221)
! - uncorrected energy (eV/atom) = -1.8435

(18)
! RbEuBi, optimized geometry, DFT PBE-GGA; values from VASP
&SYSTEM
  ibrav = 0, nat = 3, ntyp = 3
/
ATOMIC_SPECIES
Eu 151.96 Eu.upf
Rb 85.47 Rb.upf
Bi 208.98 Bi.upf
ATOMIC_POSITIONS crystal
Eu 0.000 0.000 0.000
Rb 0.500 0.500 0.500
Bi 0.250 0.250 0.250
CELL_PARAMETERS angstrom
-1.184 5.725 -0.455
-4.104 2.426 3.414
1.558 3.667 4.303
! - formation energy (kcal/mol of atoms) = -10.85
! - space group = F-43m (216)

(19)
! Ho2OsRh, optimized geometry, DFT PBE-GGA; values from VASP
&SYSTEM
  ibrav = 0, nat = 4, ntyp = 3
/
ATOMIC_SPECIES
Ho 164.93 Ho.upf
Rh 102.91 Rh.upf
Os 190.23 Os.upf
ATOMIC_POSITIONS crystal
Ho 0.000 0.000 0.754
Ho 0.000 0.000 0.246
Rh 0.500 0.500 0.500
Os 0.500 0.500 0.000
CELL_PARAMETERS angstrom
3.399 0.000 0.000
0.000 3.399 0.000
0.000 0.000 6.792
! - formation energy (kcal/mol of atoms) = -12.35
! - space group = P4/mmm (123)

(20)
! TmAg3S3, optimized geometry, DFT PBE-GGA; values from VASP
&SYSTEM
  ibrav = 0, nat = 14, ntyp = 3
/
ATOMIC_SPECIES
S 32.06 S.upf
Ag 107.87 Ag.upf
Tm 168.93 Tm.upf
ATOMIC_POSITIONS crystal
S 0.931 0.306 0.232
S 0.306 0.531 0.232
S 0.469 0.069 0.768
S 0.694 0.469 0.768
S 0.531 0.931 0.232
S 0.069 0.694 0.768
Ag 0.874 0.642 0.350
Ag 0.358 0.866 0.650
Ag 0.866 0.126 0.650
Ag 0.134 0.874 0.350
Ag 0.126 0.358 0.650
Ag 0.642 0.134 0.350
Tm 0.662 0.662 0.013
Tm 0.338 0.338 0.987
CELL_PARAMETERS angstrom
-1.660 6.461 -2.722
-3.315 4.898 4.114
4.261 6.138 2.434
! - uncorrected formation energy (eV per atom) = -0.738
! - space group = R-3 (148)

(21)
! Be2AlP, optimized geometry, DFT PBE-GGA; values from VASP
&SYSTEM
  ibrav = 0, nat = 4, ntyp = 3
/
ATOMIC_SPECIES
Be 9.01 Be.upf
P 30.97 P.upf
Al 26.98 Al.upf
ATOMIC_POSITIONS crystal
Be 0.750 0.750 0.750
Be 0.250 0.250 0.250
P 0.500 0.500 0.500
Al 0.000 0.000 0.000
CELL_PARAMETERS angstrom
0.000 2.889 2.889
2.889 0.000 2.889
2.889 2.889 0.000
! - formation energy (kcal/mol of atoms) = 11.51
! - space group = Fm-3m (225)

(22)
! TlPRuO2, optimized geometry, DFT PBE-GGA; values from VASP
&SYSTEM
  ibrav = 0, nat = 5, ntyp = 4
/
ATOMIC_SPECIES
P 30.97 P.upf
Tl 204.38 Tl.upf
Ru 101.07 Ru.upf
O 16.00 O.upf
ATOMIC_POSITIONS crystal
P 0.000 0.000 0.500
Tl 0.000 0.000 0.000
Ru 0.500 0.500 0.500
O 0.500 0.000 0.000
O 0.000 0.500 0.000
CELL_PARAMETERS angstrom
-2.862 1.889 -1.933
1.528 -1.193 -3.426
-3.528 -5.129 0.212
! - uncorrected formation energy (eV per atom) = 1.016
! - space group = P4/mmm (123)

(23)
! In2PbBr, optimized geometry, DFT PBE-GGA; values from VASP
&SYSTEM
  ibrav = 0, nat = 4, ntyp = 3
/
ATOMIC_SPECIES
In 114.82 In.upf
Pb 207.20 Pb.upf
Br 79.90 Br.upf
ATOMIC_POSITIONS crystal
In 0.000 0.000 0.000
In 0.500 0.500 0.000
Pb 0.500 0.000 0.500
Br 0.000 0.500 0.500
CELL_PARAMETERS angstrom
-1.502 -3.506 -4.384
5.595 -0.545 -1.473
0.296 -2.807 2.134
! - uncorrected formation energy (eV per atom) = -0.205
! - space group = C2/m (12)

(24)
! KHf2Zr, optimized geometry, DFT PBE-GGA; values from VASP
&SYSTEM
  ibrav = 0, nat = 4, ntyp = 3
/
ATOMIC_SPECIES
Zr 91.22 Zr.upf
Hf 178.49 Hf.upf
K 39.10 K.upf
ATOMIC_POSITIONS crystal
Zr 0.500 0.500 0.500
Hf 0.750 0.750 0.750
Hf 0.250 0.250 0.250
K 0.000 0.000 0.000
CELL_PARAMETERS angstrom
0.000 3.716 3.716
3.716 0.000 3.716
3.716 3.716 0.000
! - formation energy (kcal/mol of atoms) = 24.94
! - space group = Fm-3m (225)

(25)
! TaHgH, optimized geometry, DFT PBE-GGA; values from VASP
&SYSTEM
  ibrav = 0, nat = 12, ntyp = 3
/
ATOMIC_SPECIES
Hg 200.59 Hg.upf
Ta 180.95 Ta.upf
H 1.01 H.upf
ATOMIC_POSITIONS crystal
Hg 0.500 0.500 0.500
Hg 0.500 0.000 0.500
Hg 0.000 0.500 0.000
Hg 0.000 0.000 0.000
Ta 0.000 0.250 0.492
Ta 0.500 0.250 0.008
Ta 0.000 0.750 0.508
Ta 0.500 0.750 0.992
H 0.750 0.250 0.750
H 0.750 0.750 0.250
H 0.250 0.750 0.250
H 0.250 0.250 0.750
CELL_PARAMETERS angstrom
5.159 0.000 0.000
0.000 6.250 0.000
0.000 0.000 5.186
! - space group = Imma (74)
! - uncorrected energy (eV/atom) = -4.6963

Computed calculated volume, in the same sequence as the records: 150.0 208.5 134.5 453.1 134.0 345.3 301.6 87.8 385.3 237.1 367.0 81.5 209.4 84.9 365.3 113.5 176.0 142.6 78.5 299.7 48.2 96.5 119.5 102.6 167.2 Å³/cell.